[1]
Material: Ba2TcP
Method: DFT, PBE-GGA
State: optimized geometry

Theoretical density (g/cm3): 5.5
Total magnetic moment (μB per atom): 0.8262
SG: P4/mmm, No. 123
Total DFT energy (no corrections) (eV/atom): -4.499

a = 4.112 Å, b = 4.112 Å, c = 7.244 Å
α = 90.00°, β = 90.00°, γ = 90.00°
Positions (direct):
Ba1 0.000 0.000 0.772
Ba2 0.000 0.000 0.228
Tc1 0.500 0.500 0.500
P1 0.500 0.500 0.000

---

[2]
Material: BaTcP2
Method: DFT, PBE-GGA
State: optimized geometry

Theoretical density (g/cm3): 5.3
Total magnetic moment (μB per atom): 0.0000
SG: Cm, No. 8
Polymorph energy (0 for the lowest one) (meV/atom): 51.4

a = 4.334 Å, b = 4.334 Å, c = 6.223 Å
α = 80.36°, β = 80.36°, γ = 53.81°
Positions (direct):
Ba1 0.783 0.783 0.751
P1 0.038 0.038 0.087
P2 0.184 0.184 0.377
Tc1 0.494 0.494 0.285

---

[3]
Material: Ba2TcP
Method: DFT, PBE-GGA
State: optimized geometry

Theoretical density (g/cm3): 4.6
Total magnetic moment (μB per atom): 0.9828
SG: P4mm, No. 99
Total DFT energy (no corrections) (eV/atom): -4.315

a = 4.685 Å, b = 4.685 Å, c = 6.619 Å
α = 90.00°, β = 90.00°, γ = 90.00°
Positions (direct):
Ba1 0.000 0.000 0.875
Ba2 0.500 0.500 0.375
Tc1 0.500 0.500 0.876
P1 0.000 0.000 0.375

---

[4]
Material: BaTc4P
Method: DFT, PBE-GGA
State: optimized geometry

Theoretical density (g/cm3): 8.4
Total magnetic moment (μB per atom): 0.0000
SG: F-43m, No. 216
Total DFT energy (no corrections) (eV/atom): -7.237

a = 5.396 Å, b = 5.396 Å, c = 5.396 Å
α = 60.00°, β = 60.00°, γ = 60.00°
Positions (direct):
Ba1 0.750 0.750 0.750
Tc1 0.883 0.372 0.372
Tc2 0.372 0.372 0.883
Tc3 0.372 0.883 0.372
Tc4 0.372 0.372 0.372
P1 0.000 0.000 0.000

---

Q: What is the formula in the fourth record?
A: BaTc4P